Record 1
Compound: CaGaGe
Source: the Alexandria database
Functional: PBE
Structure: optimized geometry

Output
**V**: 21.98 Å³/atom
**Formation energy**: -0.4901 eV/atom
**Final energy**: -3.71 eV per atom
**DOS at the Fermi energy**: 3.627 states/eV/cell

```
data_CaGaGe
_chemical_formula_sum 'Ca4 Ga4 Ge4'
_cell_length_a 10.8776
_cell_length_b 4.2476
_cell_length_c 7.1434
_cell_angle_alpha 90.00
_cell_angle_beta 126.94
_cell_angle_gamma 90.00
_space_group_name_H-M_alt 'C 1 2/m 1'
_space_group_IT_number 12
_space_group_name_Hall '-C 2y'
loop_
_atom_site_label
_atom_site_fract_x
_atom_site_fract_y
_atom_site_fract_z
Ca1 0.0588 0.0000 0.3138
Ga1 0.1565 0.5000 0.0731
Ge1 0.1740 0.5000 0.7119
```



Record 2
Compound: NdHfZn2
Source: the Alexandria database
Functional: PBE
Structure: optimized geometry

Output
**V**: 21.32 Å³/atom
**Excess energy over the best structure of this formula in the dataset**: 87 meV per atom
**Formation energy**: -0.1164 eV/atom
**Final energy**: -4.43 eV per atom
**DOS at the Fermi energy**: 22.174 states/eV/cell

```
data_NdHfZn2
_chemical_formula_sum 'Nd4 Hf4 Zn8'
_cell_length_a 6.9873
_cell_length_b 6.9873
_cell_length_c 6.9873
_cell_angle_alpha 90.00
_cell_angle_beta 90.00
_cell_angle_gamma 90.00
_space_group_name_H-M_alt 'F m -3 m'
_space_group_IT_number 225
_space_group_name_Hall '-F 4 2 3'
loop_
_atom_site_label
_atom_site_fract_x
_atom_site_fract_y
_atom_site_fract_z
Nd1 0.0000 0.0000 0.0000
Hf1 0.0000 0.0000 0.5000
Zn1 0.2500 0.2500 0.2500
```